No. 1
The following is a DFT calculation (GGA-PBEsol) of YNiAu2I after structural relaxation.

a b c (Å): 5.1076 5.1076 5.5356
angles (deg): 90.00 90.00 90.00
Element x y z (fractional)
Y (0.0000, 0.0000, 0.0000)
Ni (0.5000, 0.5000, 0.0000)
Au (0.0000, 0.5000, 0.5000)
Au (0.5000, 0.0000, 0.5000)
I (0.0000, 0.0000, 0.5000)

Values from the calculation:
energy = -3.3922 eV/atom
N(E_F) = 1.725 states/eV per atom
volume = 144.4 Å³/cell
formation energy without anion corrections = 1.127 eV per atom

No. 2
The following is a DFT calculation (GGA-PBEsol) of AuIO3 after structural relaxation.

a b c (Å): 4.0991 4.0991 4.0991
angles (deg): 90.00 90.00 90.00
Element x y z (fractional)
Au (0.0000, 0.0000, 0.0000)
I (0.5000, 0.5000, 0.5000)
O (0.0000, 0.5000, 0.5000)
O (0.5000, 0.0000, 0.5000)
O (0.5000, 0.5000, 0.0000)

Values from the calculation:
energy = -3.9856 eV/atom
N(E_F) = 0.063 states/eV per atom
volume = 68.9 Å³/cell
formation energy without anion corrections = 0.302 eV per atom

No. 3
The following is a DFT calculation (GGA-PBEsol) of AuI2O2 after structural relaxation.

a b c (Å): 5.5683 5.5683 3.8748
angles (deg): 90.00 90.00 90.00
Element x y z (fractional)
Au (0.0000, 0.0000, 0.0000)
I (0.0000, 0.5000, 0.0000)
I (0.5000, 0.0000, 0.0000)
O (0.0000, 0.0000, 0.5000)
O (0.5000, 0.5000, 0.5000)

Values from the calculation:
energy = -2.7905 eV/atom
N(E_F) = 0.933 states/eV per atom
volume = 120.1 Å³/cell
formation energy without anion corrections = 0.801 eV per atom

No. 4
The following is a DFT calculation (GGA-PBEsol) of RhAuIO2 after structural relaxation.

a b c (Å): 3.7587 3.7587 7.5526
angles (deg): 90.00 90.00 90.00
Element x y z (fractional)
Rh (0.0000, 0.0000, 0.0000)
Au (0.5000, 0.5000, 0.5000)
I (0.0000, 0.0000, 0.5000)
O (0.0000, 0.5000, 0.0000)
O (0.5000, 0.0000, 0.0000)

Values from the calculation:
energy = -4.8996 eV/atom
N(E_F) = 0.393 states/eV per atom
volume = 106.7 Å³/cell
formation energy without anion corrections = -0.034 eV per atom